Entry 1:
Below is a geometry-optimized Nd2SmSi3Ni12 structure, with properties calculated at the PBE level.

Output
Uncorrected formation energy   0.024 eV/atom
Space group   R-3m
Crystal system   trigonal

abc: 7.6510 7.6510 7.6510
angles: 58.83 58.83 58.83
Last column: nearest neighbours and their distance in Å.
Sites, in units of the cell vectors:
Nd1 0.0969 0.0969 0.0969  6 Ni 2.66-2.75
Nd2 0.9031 0.9031 0.9031  6 Ni 2.66-2.75
Sm1 0.5000 0.5000 0.5000  6 Ni 2.97
Si1 0.0000 0.5000 0.5000  6 Ni 2.17-2.28
Si2 0.5000 0.0000 0.5000  6 Ni 2.17-2.28
Si3 0.5000 0.5000 0.0000  6 Ni 2.17-2.28
Ni1 0.0169 0.6650 0.6650  1 Si 2.28, 2 Ni 2.45
Ni2 0.1496 0.1496 0.6141  2 Si 2.17
Ni3 0.1496 0.6141 0.1496  2 Si 2.17
Ni4 0.3350 0.3350 0.9831  1 Si 2.28, 2 Ni 2.45
Ni5 0.3350 0.9831 0.3350  1 Si 2.28, 2 Ni 2.45
Ni6 0.3859 0.8504 0.8504  2 Si 2.17
Ni7 0.6141 0.1496 0.1496  2 Si 2.17
Ni8 0.6650 0.0169 0.6650  1 Si 2.28, 2 Ni 2.45
Ni9 0.6650 0.6650 0.0169  1 Si 2.28, 2 Ni 2.45
Ni10 0.8504 0.3859 0.8504  2 Si 2.17
Ni11 0.8504 0.8504 0.3859  2 Si 2.17
Ni12 0.9831 0.3350 0.3350  1 Si 2.28, 2 Ni 2.45

Entry 2:
Below is a geometry-optimized Tc2GeOs structure, with properties calculated at the PBE level.

Output
Space group   P4/mmm
Crystal system   tetragonal
ΔE_f   14 meV per atom

abc: 2.9245 2.9245 6.7063
angles: 90.00 90.00 90.00
Last column: nearest neighbours and their distance in Å.
Sites, in units of the cell vectors:
Tc1 0.0000 0.0000 0.2368  4 Ge 2.61, 4 Os 2.72
Tc2 0.0000 0.0000 0.7632  4 Ge 2.61, 4 Os 2.72
Ge1 0.5000 0.5000 0.0000  8 Tc 2.61
Os1 0.5000 0.5000 0.5000  8 Tc 2.72, 4 Os 2.92

Entry 3:
Below is a geometry-optimized Ti4Zn2O structure, with properties calculated at the PBE level.

Output
Uncorrected formation energy   -0.864 eV/atom
Space group   Fd-3m
Crystal system   cubic

abc: 8.2248 8.2248 8.2248
angles: 60.00 60.00 60.00
Last column: nearest neighbours and their distance in Å.
Sites, in units of the cell vectors:
Ti1 0.0000 0.0000 0.0000  6 Zn 2.56
Ti2 0.0000 0.0000 0.5000  6 Zn 2.56
Ti3 0.0000 0.5000 0.0000  6 Zn 2.56
Ti4 0.1913 0.1913 0.5587  2 O 2.17
Ti5 0.1913 0.5587 0.1913  2 O 2.17
Ti6 0.1913 0.5587 0.5587  2 O 2.17
Ti7 0.4413 0.4413 0.8087  2 O 2.17
Ti8 0.4413 0.8087 0.4413  2 O 2.17
Ti9 0.4413 0.8087 0.8087  2 O 2.17
Ti10 0.5000 0.0000 0.0000  6 Zn 2.56
Ti11 0.5587 0.1913 0.1913  2 O 2.17
Ti12 0.5587 0.1913 0.5587  2 O 2.17
Ti13 0.5587 0.5587 0.1913  2 O 2.17
Ti14 0.8087 0.4413 0.4413  2 O 2.17
Ti15 0.8087 0.4413 0.8087  2 O 2.17
Ti16 0.8087 0.8087 0.4413  2 O 2.17
Zn1 0.1429 0.7857 0.7857  6 Ti 2.56-2.66
Zn2 0.2143 0.2143 0.2143  6 Ti 2.56-2.66
Zn3 0.2143 0.2143 0.8571  6 Ti 2.56-2.66
Zn4 0.2143 0.8571 0.2143  6 Ti 2.56-2.66
Zn5 0.7857 0.1429 0.7857  6 Ti 2.56-2.66
Zn6 0.7857 0.7857 0.1429  6 Ti 2.56-2.66
Zn7 0.7857 0.7857 0.7857  6 Ti 2.56-2.66
Zn8 0.8571 0.2143 0.2143  6 Ti 2.56-2.66
O1 0.0000 0.5000 0.5000  6 Ti 2.17
O2 0.5000 0.0000 0.5000  6 Ti 2.17
O3 0.5000 0.5000 0.0000  6 Ti 2.17
O4 0.5000 0.5000 0.5000  6 Ti 2.17

Entry 4:
Below is a geometry-optimized LiCe2Au structure, with properties calculated at the PBE level.

Output
Space group   P4/mmm
Crystal system   tetragonal
ΔE_f   -209 meV per atom

abc: 4.3950 4.3950 4.6508
angles: 90.00 90.00 90.00
Last column: nearest neighbours and their distance in Å.
Sites, in units of the cell vectors:
Li1 0.0000 0.0000 0.0000  4 Au 3.11, 8 Ce 3.20
Ce1 0.0000 0.5000 0.5000  4 Ce 3.11, 4 Li 3.20, 4 Au 3.20
Ce2 0.5000 0.0000 0.5000  4 Ce 3.11, 4 Li 3.20, 4 Au 3.20
Au1 0.5000 0.5000 0.0000  4 Li 3.11, 8 Ce 3.20

Entry 5:
Below is a geometry-optimized Ta3Nb2H4 structure, with properties calculated at the PBE level.

Output
Space group   C2/m
Crystal system   monoclinic
Uncorrected energy   -7.653 eV per atom

abc: 5.1128 5.1128 7.9040
angles: 110.26 110.26 32.00
Last column: nearest neighbours and their distance in Å.
Sites, in units of the cell vectors:
Ta1 0.0000 0.0000 0.0000  4 H 2.04
Ta2 0.3871 0.3871 0.6110  3 H 2.06-2.12
Ta3 0.6129 0.6129 0.3890  3 H 2.06-2.12
Nb1 0.3090 0.3090 0.1995  4 H 2.04-2.06
Nb2 0.6910 0.6910 0.8005  4 H 2.04-2.06
H1 0.0547 0.0547 0.6399  2 Nb 2.04, 1 H 2.08, 2 Ta 2.12
H2 0.3540 0.3540 0.8543  3 Ta 2.04-2.06, 2 Nb 2.06
H3 0.6460 0.6460 0.1457  3 Ta 2.04-2.06, 2 Nb 2.06
H4 0.9453 0.9453 0.3601  2 Nb 2.04, 1 H 2.08, 2 Ta 2.12

Entry 6:
Below is a geometry-optimized Pm2HoGa structure, with properties calculated at the PBE level.

Output
Space group   P4/mmm
Crystal system   tetragonal
ΔE_f   -234 meV per atom

abc: 4.7773 4.7773 4.8210
angles: 90.00 90.00 90.00
Last column: nearest neighbours and their distance in Å.
Sites, in units of the cell vectors:
Pm1 0.0000 0.5000 0.0000  4 Pm 3.38, 4 Ho 3.39, 4 Ga 3.39
Pm2 0.5000 0.0000 0.0000  4 Pm 3.38, 4 Ho 3.39, 4 Ga 3.39
Ho1 0.0000 0.0000 0.5000  4 Ga 3.38, 8 Pm 3.39
Ga1 0.5000 0.5000 0.5000  4 Ho 3.38, 8 Pm 3.39

Entry 7:
Below is a geometry-optimized PrTm7In2 structure, with properties calculated at the PBE level.

Output
Space group   Cmmm
Crystal system   orthorhombic
ΔE_f   352 meV per atom

abc: 8.7842 8.7842 5.4837
angles: 90.00 90.00 117.95
Last column: nearest neighbours and their distance in Å.
Sites, in units of the cell vectors:
Pr1 0.0000 0.0000 0.0000  10 Tm 3.53-3.70
Tm1 0.0578 0.3046 0.5000  2 In 3.09-3.16, 2 Tm 3.28-3.43
Tm2 0.2346 0.7654 0.0000  2 In 2.93
Tm3 0.3046 0.0578 0.5000  2 In 3.09-3.16, 2 Tm 3.28-3.43
Tm4 0.5000 0.5000 0.5000  2 In 2.97
Tm5 0.6954 0.9422 0.5000  2 In 3.09-3.16, 2 Tm 3.28-3.43
Tm6 0.7654 0.2346 0.0000  2 In 2.93
Tm7 0.9422 0.6954 0.5000  2 In 3.09-3.16, 2 Tm 3.28-3.43
In1 0.3030 0.6970 0.5000  7 Tm 2.93-3.16
In2 0.6970 0.3030 0.5000  7 Tm 2.93-3.16

Entry 8:
Below is a geometry-optimized Na3Er3NpO8 structure, with properties calculated at the PBE level.

Output
Uncorrected formation energy   -2.818 eV/atom
Space group   R-3m
Crystal system   trigonal

abc: 6.8680 6.8680 6.8680
angles: 59.78 59.78 59.78
Last column: nearest neighbours and their distance in Å.
Sites, in units of the cell vectors:
Na1 0.0000 0.5000 0.5000  6 O 2.58-2.59
Na2 0.5000 0.0000 0.5000  6 O 2.58-2.59
Na3 0.5000 0.5000 0.0000  6 O 2.58-2.59
Er1 0.0000 0.0000 0.5000  6 O 2.29
Er2 0.0000 0.5000 0.0000  6 O 2.29
Er3 0.5000 0.0000 0.0000  6 O 2.29
Np1 0.5000 0.5000 0.5000  6 O 2.23
O1 0.2352 0.2352 0.2352  3 Er 2.29
O2 0.2407 0.7288 0.7288  1 Np 2.23, 2 Er 2.29
O3 0.2712 0.2712 0.7593  1 Np 2.23, 2 Er 2.29
O4 0.2712 0.7593 0.2712  1 Np 2.23, 2 Er 2.29
O5 0.7288 0.2407 0.7288  1 Np 2.23, 2 Er 2.29
O6 0.7288 0.7288 0.2407  1 Np 2.23, 2 Er 2.29
O7 0.7593 0.2712 0.2712  1 Np 2.23, 2 Er 2.29
O8 0.7648 0.7648 0.7648  3 Er 2.29

Question: Number 8 is which compound?
Answer: Na3Er3NpO8